Ho2ErIn3S6: optimized geometry, PBE.

abc: 6.874 11.906 7.857
angles: 90.00 106.96 90.00
Space group C2/m (No. 12)
Symmetry-distinct sites (fractional):
Ho 0.000 0.167 0.000 x4
Er 0.000 0.500 0.000 x2
In 0.000 0.000 0.500 x2
In 0.000 0.333 0.500 x4
S 0.233 0.334 0.200 x8
S 0.234 0.000 0.200 x4

Results
ΔE_f (raw) in meV per atom: -1405
Calculated total energy in eV for the cell shown: -127.13
V in Å³/atom: 25.6
Total magnetic moment in μB per formula unit: 0.000

---

SrOsSe2: optimized geometry, PBE.

abc: 3.875 6.027 8.061
angles: 90.00 90.00 90.00
Space group Immm (No. 71)
Symmetry-distinct sites (fractional):
Sr 0.000 0.000 0.000 x2
Os 0.000 0.000 0.500 x2
Se 0.000 0.500 0.189 x4

Results
ΔE_f (raw) in meV per atom: -502
Excess energy over the best structure of this formula in the dataset in eV per formula unit: 0.62
Calculated total energy in eV for the cell shown: -43.78
DOS(E_F) in states/eV/cell: 4.53
V in Å³/atom: 23.5
Total magnetic moment in μB per formula unit: 0.000

---

NaLi2PbBr6: optimized geometry, PBE.

abc: 13.149 12.991 7.646
angles: 90.00 103.17 90.00
Space group C2/c (No. 15)
Symmetry-distinct sites (fractional):
Na 0.000 0.234 0.250 x4
Li 0.173 0.090 0.791 x8
Pb 0.000 0.405 0.750 x4
Br 0.103 0.060 0.077 x8
Br 0.128 0.408 0.135 x8
Br 0.136 0.259 0.626 x8

Results
ΔE_f (raw) in meV per atom: -1123
Calculated total energy in eV for the cell shown: -120.48
DOS(E_F) in states/eV/cell: 22.83
V in Å³/atom: 31.8
Total magnetic moment in μB per formula unit: 0.845

---

BeZnOs2: optimized geometry, PBE.

abc: 2.840 2.840 6.266
angles: 90.00 90.00 90.00
Space group P4mm (No. 99)
Symmetry-distinct sites (fractional):
Be 0.000 0.000 0.000 x1
Zn 0.500 0.500 0.776 x1
Os 0.000 0.000 0.490 x1
Os 0.500 0.500 0.218 x1

Results
Calculated total energy in eV for the cell shown: -27.65
DOS(E_F) in states/eV/cell: 0.97
V in Å³/atom: 12.6
E_form in eV per atom: -0.05
Total magnetic moment in μB per formula unit: 0.000

---

Nb8Ga2N: optimized geometry, PBE.

abc: 15.319 4.571 5.585
angles: 90.00 109.56 90.00
Space group C2/m (No. 12)
Symmetry-distinct sites (fractional):
Nb 0.002 0.000 0.245 x4
Nb 0.089 0.500 0.712 x4
Nb 0.128 0.500 0.255 x4
Nb 0.217 0.000 0.114 x4
Ga 0.175 0.000 0.599 x4
N 0.000 0.500 0.000 x2

Results
ΔE_f (raw) in meV per atom: -203
Calculated total energy in eV for the cell shown: -194.35
DOS(E_F) in states/eV/cell: 10.85
V in Å³/atom: 16.7
Total magnetic moment in μB per formula unit: 0.000

---

Co5Ru: optimized geometry, PBE.

abc: 3.585 10.711 3.599
angles: 90.00 90.00 90.00
Space group Cmmm (No. 65)
Symmetry-distinct sites (fractional):
Co 0.000 0.000 0.000 x2
Co 0.000 0.171 0.500 x4
Co 0.000 0.329 0.000 x4
Ru 0.000 0.500 0.500 x2

Results
Excess energy over the best structure of this formula in the dataset in eV per formula unit: 0.24
Calculated total energy in eV for the cell shown: -88.13
DOS(E_F) in states/eV/cell: 19.25
V in Å³/atom: 11.5
E_form in eV per atom: 0.12
Total magnetic moment in μB per formula unit: 8.752